{
  "formula": "LaTlAu2",
  "functional": "GGA-PBE",
  "state": "relaxed",
  "total_magnetization_mub_per_fu": 0.00,
  "polymorph_energy_mev_per_atom": 138,
  "crystal_system": "cubic",
  "dft_energy_ev_per_atom": -3.932,
  "space_group": "F-43m",
  "cell": [[0.000, 3.611, 3.611], [3.611, 0.000, 3.611], [3.611, 3.611, 0.000]],
  "species": ["La", "Tl", "Au", "Au"],
  "fractional_positions": [[0.000, 0.000, 0.000], [0.750, 0.750, 0.750], [0.250, 0.250, 0.250], [0.500, 0.500, 0.500]]
}